Run A
Compound: KMnAg2
Source: the Alexandria database
Functional: GGA-PBEsol
Structure: relaxed

## Properties
Total moment, μB/f.u.: 3.965
Calculated volume, Å³/cell: 85.64
DOS at the Fermi energy, states/eV/cell: 2.48
Space group: P4/mmm

Lattice parameters (Å, degrees): 3.2520 3.2520 8.0976 90.00 90.00 90.00
Positions (direct):
K (0.0000, 0.0000, 0.0000)
Mn (0.0000, 0.0000, 0.5000)
Ag (0.5000, 0.5000, 0.3215)
Ag (0.5000, 0.5000, 0.6785)



Run B
Compound: KMnAg2
Source: the Alexandria database
Functional: GGA-PBEsol
Structure: relaxed

## Properties
Total moment, μB/f.u.: 4.154
Calculated volume, Å³/cell: 80.93
DOS at the Fermi energy, states/eV/cell: 2.09
Space group: P4/mmm

Lattice parameters (Å, degrees): 5.2201 5.2201 2.9699 90.00 90.00 90.00
Positions (direct):
K (0.0000, 0.0000, 0.0000)
Mn (0.5000, 0.5000, 0.0000)
Ag (0.0000, 0.5000, 0.5000)
Ag (0.5000, 0.0000, 0.5000)



The data favor run A; the next most stable structure lies 0.198 eV/atom above it.



Run A
Compound: KMnAg2
Source: the Alexandria database
Functional: GGA-PBEsol
Structure: relaxed

## Properties
Total moment, μB/f.u.: 4.237
Calculated volume, Å³/cell: 90.72
DOS at the Fermi energy, states/eV/cell: 2.10
Space group: P4mm

Lattice parameters (Å, degrees): 3.3529 3.3529 8.0695 90.00 90.00 90.00
Positions (direct):
K (0.0000, 0.0000, 0.0000)
Mn (0.5000, 0.5000, 0.3486)
Ag (0.0000, 0.0000, 0.5050)
Ag (0.5000, 0.5000, 0.6918)



Run B
Compound: KMnAg2
Source: the Alexandria database
Functional: GGA-PBEsol
Structure: relaxed

## Properties
Total moment, μB/f.u.: 4.438
Calculated volume, Å³/cell: 332.25
DOS at the Fermi energy, states/eV/cell: 11.81
Space group: F-43m

Lattice parameters (Å, degrees): 6.9261 6.9261 6.9261 90.00 90.00 90.00
Positions (direct):
K (0.0000, 0.0000, 0.0000)
K (0.0000, 0.5000, 0.5000)
K (0.5000, 0.0000, 0.5000)
K (0.5000, 0.5000, 0.0000)
Mn (0.2500, 0.2500, 0.7500)
Mn (0.2500, 0.7500, 0.2500)
Mn (0.7500, 0.2500, 0.2500)
Mn (0.7500, 0.7500, 0.7500)
Ag (0.0000, 0.0000, 0.5000)
Ag (0.0000, 0.5000, 0.0000)
Ag (0.2500, 0.2500, 0.2500)
Ag (0.2500, 0.7500, 0.7500)
Ag (0.5000, 0.0000, 0.0000)
Ag (0.5000, 0.5000, 0.5000)
Ag (0.7500, 0.2500, 0.7500)
Ag (0.7500, 0.7500, 0.2500)



The data favor run A; the next most stable structure lies 0.216 eV/atom above it.



Run A
Compound: KAgMo2
Source: the Alexandria database
Functional: GGA-PBEsol
Structure: relaxed

## Properties
Total moment, μB/f.u.: 0.000
Calculated volume, Å³/cell: 153.45
DOS at the Fermi energy, states/eV/cell: 5.53
Space group: Immm

Lattice parameters (Å, degrees): 2.5951 5.0569 11.6929 90.00 90.00 90.00
Positions (direct):
K (0.0000, 0.0000, 0.0000)
K (0.5000, 0.5000, 0.5000)
Ag (0.0000, 0.0000, 0.5000)
Ag (0.5000, 0.5000, 0.0000)
Mo (0.0000, 0.5000, 0.2193)
Mo (0.0000, 0.5000, 0.7807)
Mo (0.5000, 0.0000, 0.2807)
Mo (0.5000, 0.0000, 0.7193)



Run B
Compound: KAgMo2
Source: the Alexandria database
Functional: GGA-PBEsol
Structure: relaxed

## Properties
Total moment, μB/f.u.: 0.001
Calculated volume, Å³/cell: 74.86
DOS at the Fermi energy, states/eV/cell: 3.98
Space group: P4mm

Lattice parameters (Å, degrees): 2.6840 2.6840 10.3912 90.00 90.00 90.00
Positions (direct):
K (0.0000, 0.0000, 0.0000)
Ag (0.5000, 0.5000, 0.7227)
Mo (0.0000, 0.0000, 0.5122)
Mo (0.5000, 0.5000, 0.2998)



The data favor run B; the next most stable structure lies 0.156 eV/atom above it.